Material: Dy7Ga2Ni2
Method: DFT, PBE
State: optimized geometry

Unit cell a=6.6723 b=6.8020 c=6.6723 alpha=90.00 beta=109.85 gamma=90.00
Closest atoms and distances in Å follow each position.
Positions (direct):
Dy1 0.9998 0.2543 0.5003  2 Ni 2.63
Dy2 0.5003 0.7457 0.9998  2 Ni 2.63
Dy3 0.0002 0.7457 0.4997  2 Ni 2.63
Dy4 0.4997 0.2543 0.0002  2 Ni 2.63
Dy5 0.0000 0.0000 0.0000  2 Ni 3.24, 4 Ga 3.63
Dy6 0.5002 0.7510 0.4998  2 Ni 2.79, 2 Ga 3.08
Dy7 0.4998 0.2490 0.5002  2 Ni 2.79, 2 Ga 3.08
Ga1 0.8341 0.5000 0.8341  1 Ga 2.54
Ga2 0.1659 0.5000 0.1659  1 Ga 2.54
Ni1 0.7031 0.0000 0.2969  6 Dy 2.63-2.79
Ni2 0.2969 0.0000 0.7031  6 Dy 2.63-2.79

Computed properties:
M_tot = 0.0 Bohr magnetons per cell
DFT formation energy = -255.0 meV/atom
DFT total energy = -4.785 eV/atom
space-group type = Cmmm, No. 65